(1)
The following is a DFT calculation (GGA-PBE) of ErCo4B4 after structural relaxation.

Geometry as extended XYZ:
```
18
Lattice="-4.6316 1.7053 -0.7434 -1.8599 -4.2035 1.9451 0.0536 2.8996 6.3177" Properties=species:S:1:pos:R:3 pbc="T T T"
Co -5.0322 3.2197 5.3483
Co -3.6878 -1.9780 1.8048
Co -2.0739 -0.5691 3.2376
Co -3.4476 3.0417 3.3234
Co -4.3640 0.9705 4.2818
Co -2.7500 2.3794 5.7146
Co -2.9903 -2.6403 4.1960
Co -1.4057 -2.8183 2.1711
B -5.6587 -0.3888 3.3548
B -1.2919 0.3764 0.5344
B -4.4937 1.4991 6.3030
B -4.0346 -0.9868 3.6155
B -5.1459 0.0250 6.9850
B -0.7791 0.7902 4.1646
B -2.4033 1.3882 3.9040
B -1.9441 -1.0977 1.2165
Er -3.9252 0.9530 1.5082
Er -2.5126 -0.5516 6.0113
```

Properties
DFT total energy, eV per atom: -7.151

---

(2)
The following is a DFT calculation (GGA-PBE) of ErCo3B2 after structural relaxation.

Geometry as extended XYZ:
```
6
Lattice="-0.8380 4.8153 0.9249 -3.8254 -3.0953 -0.7284 -0.0905 -0.5828 2.9522" Properties=species:S:1:pos:R:3 pbc="T T T"
Co -2.3770 0.5686 1.5744
Co -1.9580 -1.8391 1.1119
Co -0.4643 2.1163 1.9386
B -1.8340 2.1784 0.3738
B -2.8298 -0.4583 -0.1773
Er 0.0000 0.0000 0.0000
```

Properties
DFT total energy, eV per atom: -7.056

---

(3)
The following is a DFT calculation (GGA-PBE) of ErCoB4 after structural relaxation.

Geometry as extended XYZ:
```
6
Lattice="-2.0898 -4.1794 0.2752 -0.3108 -0.2771 4.6623 -1.6364 2.4976 -3.6048" Properties=species:S:1:pos:R:3 pbc="T T T"
Er -1.2003 -2.2282 2.4687
B -0.9508 0.2769 2.3205
B -2.1972 -0.2856 1.2068
B -3.0861 -2.2358 -0.9879
B -1.8398 -1.6732 0.1259
Co 0.0000 0.0000 0.0000
```

Properties
DFT total energy, eV per atom: -6.587

---

(4)
The following is a DFT calculation (GGA-PBE) of ErCo4B after structural relaxation.

Geometry as extended XYZ:
```
12
Lattice="-1.2036 4.3404 2.1183 -3.5085 -2.7404 -2.2262 -1.2276 -3.2176 5.8954" Properties=species:S:1:pos:R:3 pbc="T T T"
Co -2.7401 -0.3801 -0.7780
Co -2.1075 -2.2963 0.5837
Co -0.9551 1.2441 2.7559
Co -1.9719 1.9801 0.6701
Co -1.4760 -0.1213 5.2577
Co -2.6285 -3.6617 3.0855
Co -3.2303 -1.4915 4.1447
Co -2.7093 -0.1261 1.6429
Er -0.6138 -1.6088 2.9477
Er 0.0000 0.0000 0.0000
B -2.5856 0.3714 3.6178
B -3.3539 -1.9889 2.1697
```

Properties
DFT total energy, eV per atom: -6.929

---

(5)
The following is a DFT calculation (GGA-PBE) of GdEr2Co2B2N3 after structural relaxation.

Geometry as extended XYZ:
```
10
Lattice="3.7381 -0.0984 9.5497 5.9970 3.6947 7.4542 -6.6756 -0.3221 -7.7790" Properties=species:S:1:pos:R:3 pbc="T T T"
B 7.8468 2.8987 13.7057
B 1.8883 0.6976 3.2982
Gd 0.0000 0.0000 0.0000
Co 0.9651 0.6888 5.1363
Co 2.0945 2.5854 4.0886
N 1.1530 0.4259 2.0139
N 8.5821 3.1703 14.9900
N 4.8676 1.7981 8.5019
Er 6.0778 2.2452 10.6158
Er 3.6573 1.3511 6.3881
```

Properties
DFT total energy, eV per atom: -7.852

---

(6)
The following is a DFT calculation (GGA-PBE) of GdErCo2B2N2 after structural relaxation.

Geometry as extended XYZ:
```
8
Lattice="3.4827 0.0000 0.0000 0.0000 3.4827 0.0000 0.0000 0.0000 7.4412" Properties=species:S:1:pos:R:3 pbc="T T T"
N 0.0000 0.0000 1.0866
N 1.7414 1.7414 6.3354
Er 0.0000 0.0000 6.1952
Gd 1.7414 1.7414 1.2595
Co 0.0000 1.7414 3.7268
Co 1.7414 0.0000 3.7268
B 1.7414 1.7414 4.8313
B 0.0000 0.0000 2.6030
```

Properties
DFT total energy, eV per atom: -7.769